Record 1
GGA-PBEsol KBiAs2Br, relaxed; energy relative to the elements, uncorrected = 115 meV/atom; M_tot = 0.91 Bohr magnetons per cell; crystal system = tetragonal; space-group type = No. 123
1.0
5.443 0.000 0.000
0.000 5.443 0.000
0.000 0.000 6.020
K Bi As Br
1 1 2 1
Direct
0.000 0.000 0.000
0.500 0.500 0.500
0.000 0.500 0.500
0.500 0.000 0.500
0.500 0.500 0.000

***

Record 2
GGA-PBEsol Cr2TeCl, relaxed; energy relative to the elements, uncorrected = 335 meV/atom; M_tot = 8.67 Bohr magnetons per cell; relative energy among the computed polymorphs = 0 meV/atom; crystal system = tetragonal; space-group type = No. 123
1.0
3.415 0.000 0.000
0.000 3.415 0.000
0.000 0.000 6.855
Cr Te Cl
2 1 1
Direct
0.000 0.000 0.235
0.000 0.000 0.765
0.500 0.500 0.000
0.500 0.500 0.500

***

Record 3
GGA-PBEsol CaCoRe2Mo, relaxed; M_tot = 1.90 Bohr magnetons per cell; E_form = 2.206 eV/atom; crystal system = tetragonal; space-group type = No. 123
1.0
4.623 0.000 0.000
0.000 4.623 0.000
0.000 0.000 5.037
Ca Co Re Mo
1 1 2 1
Direct
0.000 0.000 0.000
0.500 0.500 0.000
0.000 0.500 0.500
0.500 0.000 0.500
0.000 0.000 0.500

***

Record 4
GGA-PBEsol PbC, relaxed; M_tot = 1.42 Bohr magnetons per cell; E_form = 2.372 eV/atom; relative energy among the computed polymorphs = 1485 meV/atom; crystal system = cubic; space-group type = No. 221
1.0
4.899 0.000 0.000
0.000 4.899 0.000
0.000 0.000 4.899
Pb C
3 3
Direct
0.000 0.000 0.500
0.000 0.500 0.000
0.500 0.000 0.000
0.000 0.500 0.500
0.500 0.000 0.500
0.500 0.500 0.000

***

Record 5
GGA-PBEsol Mg2AsSe, relaxed; energy relative to the elements, uncorrected = -449 meV/atom; M_tot = 0.00 Bohr magnetons per cell; crystal system = tetragonal; space-group type = No. 119
1.0
-1.903 1.903 5.563
1.903 -1.903 5.563
1.903 1.903 -5.563
Mg As Se
2 1 1
Direct
0.000 0.000 0.000
0.750 0.250 0.500
0.250 0.750 0.500
0.500 0.500 0.000

***

Record 6
GGA-PBEsol CaYFe, relaxed; M_tot = 1.12 Bohr magnetons per cell; E_form = 0.465 eV/atom; relative energy among the computed polymorphs = 0 meV/atom; crystal system = trigonal; space-group type = No. 156
1.0
3.600 0.000 0.000
-1.800 3.117 0.000
0.000 0.000 6.872
Ca Y Fe
1 1 1
Direct
0.000 0.000 0.000
0.667 0.333 0.480
0.333 0.667 0.720

***

Record 7
GGA-PBEsol TcIrRh2, relaxed; M_tot = 0.00 Bohr magnetons per cell; E_form = -0.092 eV/atom; relative energy among the computed polymorphs = 24 meV/atom; crystal system = monoclinic; space-group type = No. 8
1.0
4.458 -1.338 0.000
4.458 1.338 0.000
-0.796 0.000 4.584
Tc Ir Rh
1 1 2
Direct
0.000 0.000 0.000
0.252 0.252 0.756
0.502 0.502 0.502
0.749 0.749 0.250

***

Record 8
GGA-PBEsol BeAg2BPb, relaxed; M_tot = 0.00 Bohr magnetons per cell; E_form = 1.789 eV/atom; crystal system = tetragonal; space-group type = No. 123
1.0
5.304 0.000 0.000
0.000 5.304 0.000
0.000 0.000 4.278
Be Ag B Pb
1 2 1 1
Direct
0.000 0.000 0.000
0.000 0.500 0.500
0.500 0.000 0.500
0.500 0.500 0.000
0.500 0.500 0.500

***

Record 9
GGA-PBEsol La2YSc, relaxed; M_tot = 0.00 Bohr magnetons per cell; E_form = 0.050 eV/atom; relative energy among the computed polymorphs = 22 meV/atom; crystal system = orthorhombic; space-group type = No. 65
1.0
3.591 -4.705 0.000
3.591 4.705 0.000
0.000 0.000 3.600
La Y Sc
2 1 1
Direct
0.000 0.500 0.000
0.500 0.000 0.000
0.000 0.000 0.500
0.500 0.500 0.500

***

Record 10
GGA-PBEsol Cu3As, relaxed; M_tot = 0.00 Bohr magnetons per cell; E_form = 0.033 eV/atom; crystal system = orthorhombic; space-group type = No. 59
1.0
4.212 0.000 0.000
0.000 5.165 0.000
0.000 0.000 4.617
Cu As
6 2
Direct
0.250 0.002 0.154
0.250 0.250 0.669
0.250 0.498 0.154
0.750 0.502 0.846
0.750 0.750 0.331
0.750 0.998 0.846
0.250 0.750 0.667
0.750 0.250 0.333